Compound: BRhAuCl
Source: Alexandria
Functional: PBE
Structure: relaxed

The formation energy without anion corrections comes out at 8.95 kJ per mole of atoms. Its calculated volume is 18.84 Å³/atom. The total magnetic moment is 0.00 μB per formula unit.

The space group is Amm2 (No. 38) and the conventional cell measures 4.613, 3.152 and 10.367 Å, with angles of 90.00, 90.00 and 90.00 degrees. Symmetry generates all atoms from B at (0.000, 0.000, 0.000), Rh at (0.000, 0.000, 0.620), Au at (0.000, 0.000, 0.355) and Cl at (0.500, 0.000, 0.684).